[1]
Crystalline HIrCl4 at its relaxed geometry. Source: Alexandria, functional GGA-PBE.

Cell: 6.2195 5.6628 9.0039 Å, 71.67 87.71 82.69°
Fractional coordinates of all 12 atoms:
Cl: 0.9012 0.1770 0.5943
Cl: 0.8771 0.3920 0.2008
Cl: 0.0988 0.8230 0.4057
Cl: 0.5988 0.7286 0.5943
Cl: 0.3771 0.0928 0.7992
Cl: 0.1229 0.6080 0.7992
Cl: 0.4012 0.2714 0.4057
Cl: 0.6229 0.9072 0.2008
H: 0.7500 0.6427 0.2147
H: 0.2500 0.3573 0.7853
Ir: 0.2500 0.9493 0.6015
Ir: 0.7500 0.0507 0.3985

Calculated values
Total energy   -44.74 eV per cell

=====

[2]
Crystalline LaGd2Co at its relaxed geometry. Source: Alexandria, functional GGA-PBE.

Cell: 3.7980 3.7980 9.6339 Å, 78.63 78.63 60.00°
Site moments in Bohr magnetons follow the coordinates.
Fractional coordinates of all 4 atoms:
Gd: 0.7213 0.7213 0.8361  7.05
Gd: 0.2787 0.2787 0.1639  7.05
Co: 0.0000 0.0000 0.0000  -0.15
La: 0.5000 0.5000 0.5000  -0.01

Calculated values
Formation energy from the elements   -17 meV/atom
Excess energy over the best structure of this formula in the dataset   25.7 meV/atom

=====

[3]
Crystalline SnPb12Au7 at its relaxed geometry. Source: Alexandria, functional GGA-PBE.

Cell: 9.0031 9.0031 9.0031 Å, 110.63 110.63 110.63°
Fractional coordinates of all 20 atoms:
Pb: 0.5872 0.1633 0.4252
Pb: 0.4128 0.8367 0.5748
Pb: 0.1633 0.4252 0.5872
Pb: 0.8223 0.9488 0.2869
Pb: 0.7131 0.1777 0.0512
Pb: 0.8367 0.5748 0.4128
Pb: 0.2869 0.8223 0.9488
Pb: 0.5748 0.4128 0.8367
Pb: 0.4252 0.5872 0.1633
Pb: 0.0512 0.7131 0.1777
Pb: 0.1777 0.0512 0.7131
Pb: 0.9488 0.2869 0.8223
Au: 0.7616 0.8735 0.5937
Au: 0.1265 0.4063 0.2384
Au: 0.2384 0.1265 0.4063
Au: 0.5000 0.5000 0.5000
Au: 0.4063 0.2384 0.1265
Au: 0.8735 0.5937 0.7616
Au: 0.5937 0.7616 0.8735
Sn: 0.0000 0.0000 0.0000

Calculated values
Formation energy from the elements   -34 meV/atom

=====

[4]
Crystalline NaYPbF6 at its relaxed geometry. Source: Alexandria, functional GGA-PBE.

Cell: 5.4011 5.4011 11.0805 Å, 90.00 90.00 90.00°
Fractional coordinates of all 18 atoms:
F: 0.6933 0.6933 0.6847
F: 0.1933 0.8067 0.1847
F: 0.6809 0.6809 0.9872
F: 0.8191 0.1809 0.4872
F: 0.8067 0.1933 0.1847
F: 0.2101 0.7899 0.8302
F: 0.3191 0.3191 0.9872
F: 0.7899 0.2101 0.8302
F: 0.3067 0.3067 0.6847
F: 0.7101 0.7101 0.3302
F: 0.1809 0.8191 0.4872
F: 0.2899 0.2899 0.3302
Na: 0.0000 0.0000 0.6668
Na: 0.5000 0.5000 0.1668
Pb: 0.0000 0.0000 0.9976
Pb: 0.5000 0.5000 0.4976
Y: 0.0000 0.0000 0.3314
Y: 0.5000 0.5000 0.8314

Calculated values
Total energy   -103.35 eV per cell

=====

[5]
Crystalline LiAg2F4 at its relaxed geometry. Source: Alexandria, functional GGA-PBE.

Cell: 8.6870 6.1277 9.2111 Å, 62.77 90.00 90.00°
Fractional coordinates of all 28 atoms:
F: 0.6753 0.0708 0.5263
F: 0.5653 0.2729 0.8377
F: 0.0653 0.7271 0.6623
F: 0.4800 0.7538 0.8327
F: 0.9800 0.2462 0.6673
F: 0.3247 0.9292 0.4737
F: 0.1908 0.4178 0.0350
F: 0.4347 0.7271 0.1623
F: 0.9347 0.2729 0.3377
F: 0.3092 0.4178 0.5350
F: 0.5200 0.2462 0.1673
F: 0.8092 0.5822 0.9650
F: 0.6908 0.5822 0.4650
F: 0.0200 0.7538 0.3327
F: 0.1753 0.9292 0.9737
F: 0.8247 0.0708 0.0263
Li: 0.6717 0.3180 0.0083
Li: 0.8283 0.3180 0.5083
Li: 0.1717 0.6820 0.4917
Li: 0.3283 0.6820 0.9917
Ag: 0.4825 0.6242 0.6387
Ag: 0.3303 0.0881 0.0905
Ag: 0.6697 0.9119 0.9095
Ag: 0.9825 0.3758 0.8613
Ag: 0.0175 0.6242 0.1387
Ag: 0.5175 0.3758 0.3613
Ag: 0.1697 0.0881 0.5905
Ag: 0.8303 0.9119 0.4095

Calculated values
Excess energy over the best structure of this formula in the dataset   5.2 meV/atom

=====

[6]
Crystalline NaGe2I2 at its relaxed geometry. Source: Alexandria, functional GGA-PBE.

Cell: 6.1990 6.1990 6.0488 Å, 59.17 59.17 90.00°
Fractional coordinates of all 5 atoms:
Na: 0.0000 0.0000 0.0000
I: 0.2500 0.7500 0.5000
I: 0.7500 0.2500 0.5000
Ge: 0.6522 0.6522 0.6957
Ge: 0.3478 0.3478 0.3043

Calculated values
Excess energy over the best structure of this formula in the dataset   0.0 meV/atom